# 1
Entry from the Alexandria database: a relaxed ThMgSi2 crystal (PBE).

abc: 4.4564 4.4564 14.7927
angles: 90.00 90.00 120.00
Space group R-3m (No. 166, hexagonal axes)
Inequivalent atoms, fractional coordinates:
1 Th 0.0000 0.0000 0.0000
2 Mg 0.0000 0.0000 0.5000
3 Si 0.0000 0.0000 0.2183

Properties
V in A^3/atom: 21.20
Formation energy from raw total energies in eV/atom: -0.28
N(E_F) in states/eV per atom: 0.60
Crystal system: trigonal
Size of the total moment in μB per formula unit: 0.00

=====

# 2
Entry from the Alexandria database: a relaxed RbB3C crystal (PBE).

abc: 5.4016 5.4016 5.4016
angles: 90.00 90.00 90.00
Space group Pm-3m (No. 221)
Inequivalent atoms, fractional coordinates:
1 Rb 0.0000 0.0000 0.0000
2 B 0.0000 0.0000 0.5000
3 C 0.5000 0.5000 0.5000

Properties
V in A^3/atom: 31.52
Polymorph energy (0 for the lowest one) in meV per atom: 2015
N(E_F) in states/eV per atom: 1.03
Crystal system: cubic
Size of the total moment in μB per formula unit: 0.04
Energy of formation in eV per atom: 4.646

=====

# 3
Entry from the Alexandria database: a relaxed B3IrPd crystal (PBE).

abc: 4.0002 4.0002 4.0002
angles: 90.00 90.00 90.00
Space group Pm-3m (No. 221)
Inequivalent atoms, fractional coordinates:
1 B 0.0000 0.0000 0.5000
2 Ir 0.5000 0.5000 0.5000
3 Pd 0.0000 0.0000 0.0000

Properties
V in A^3/atom: 12.80
Polymorph energy (0 for the lowest one) in meV per atom: 877
N(E_F) in states/eV per atom: 0.83
Crystal system: cubic
Size of the total moment in μB per formula unit: 0.89
Energy of formation in eV per atom: 1.736

=====

# 4
Entry from the Alexandria database: a relaxed ZnTe2Rh crystal (PBE).

abc: 3.1587 3.1587 9.1330
angles: 90.00 90.00 90.00
Space group P4mm (No. 99)
Inequivalent atoms, fractional coordinates:
1 Zn 0.0000 0.0000 0.0000
2 Te 0.0000 0.0000 0.3456
3 Te 0.5000 0.5000 0.7297
4 Rh 0.5000 0.5000 0.1684

Properties
V in A^3/atom: 22.78
Formation energy from raw total energies in eV/atom: -0.06
N(E_F) in states/eV per atom: 0.41
Crystal system: tetragonal
Size of the total moment in μB per formula unit: 0.00

=====

# 5
Entry from the Alexandria database: a relaxed TcAgBr2 crystal (PBE).

abc: 8.7639 8.7639 5.5161
angles: 90.00 90.00 90.00
Space group I-42d (No. 122)
Inequivalent atoms, fractional coordinates:
1 Tc 0.0000 0.0000 0.0000
2 Ag 0.0000 0.0000 0.5000
3 Br 0.1030 0.2500 0.1250

Properties
V in A^3/atom: 26.48
Formation energy from raw total energies in eV/atom: 0.39
Polymorph energy (0 for the lowest one) in meV per atom: 177
N(E_F) in states/eV per atom: 0.23
Crystal system: tetragonal
Size of the total moment in μB per formula unit: 0.00

=====

# 6
Entry from the Alexandria database: a relaxed V2Re3W2 crystal (PBE).

abc: 8.8311 2.6771 9.3770
angles: 90.00 104.18 90.00
Space group Cm (No. 8)
Inequivalent atoms, fractional coordinates:
1 V 0.0000 0.0000 0.0000
2 V 0.1469 0.5000 0.5631
3 Re 0.0932 0.0000 0.2905
4 Re 0.2804 0.5000 0.1376
5 Re 0.3697 0.5000 0.4311
6 W 0.2169 0.0000 0.8563
7 W 0.4319 0.0000 0.7102

Properties
V in A^3/atom: 15.35
N(E_F) in states/eV per atom: 0.98
Crystal system: monoclinic
Size of the total moment in μB per formula unit: 0.00
Energy of formation in eV per atom: 0.262

=====

# 7
Entry from the Alexandria database: a relaxed LaTb6Dy6 crystal (PBE).

abc: 6.6203 6.6203 11.5280
angles: 90.00 90.00 120.00
Space group P6/mmm (No. 191)
Inequivalent atoms, fractional coordinates:
1 La 0.0000 0.0000 0.0000
2 Tb 0.0000 0.5000 0.2472
3 Dy 0.0000 0.0000 0.3559
4 Dy 0.3333 0.6667 0.0000
5 Dy 0.3333 0.6667 0.5000

Properties
V in A^3/atom: 33.66
N(E_F) in states/eV per atom: 2.07
Crystal system: hexagonal
Size of the total moment in μB per formula unit: 0.29
Energy of formation in eV per atom: 0.272

=====

# 8
Entry from the Alexandria database: a relaxed CaIn6Ir3 crystal (PBE).

abc: 9.2813 4.4719 10.6303
angles: 90.00 91.78 90.00
Space group P2_1/m (No. 11)
Inequivalent atoms, fractional coordinates:
1 Ca 0.0949 0.2500 0.2435
2 In 0.0823 0.2500 0.9220
3 In 0.1201 0.7500 0.4991
4 In 0.2670 0.7500 0.7781
5 In 0.3364 0.7500 0.2685
6 In 0.3815 0.2500 0.5645
7 In 0.4079 0.2500 0.0666
8 Ir 0.1168 0.2500 0.6620
9 Ir 0.2189 0.7500 0.0303
10 Ir 0.4757 0.2500 0.3274

Properties
V in A^3/atom: 22.05
N(E_F) in states/eV per atom: 0.41
Crystal system: monoclinic
Size of the total moment in μB per formula unit: 0.00
Energy of formation in eV per atom: -0.221

=====

# 9
Entry from the Alexandria database: a relaxed V6FeRu3 crystal (PBE).

abc: 8.6529 8.6529 8.6529
angles: 90.00 90.00 90.00
Space group Fm-3m (No. 225)
Inequivalent atoms, fractional coordinates:
1 V 0.0000 0.0000 0.2418
2 Fe 0.0000 0.0000 0.0000
3 Ru 0.0000 0.0000 0.5000
4 Ru 0.2500 0.2500 0.2500

Properties
V in A^3/atom: 16.20
N(E_F) in states/eV per atom: 1.70
Crystal system: cubic
Size of the total moment in μB per formula unit: 0.00
Energy of formation in eV per atom: 0.985

=====

# 10
Entry from the Alexandria database: a relaxed MnSnIrRuPt crystal (PBE).

abc: 8.7816 3.9551 6.1673
angles: 90.00 133.79 90.00
Space group Cm (No. 8)
Inequivalent atoms, fractional coordinates:
1 Mn 0.0000 0.0000 0.0000
2 Sn 0.1833 0.0000 0.5895
3 Ir 0.0872 0.5000 0.7987
4 Ru 0.3709 0.0000 0.1741
5 Pt 0.2779 0.5000 0.3805

Properties
V in A^3/atom: 15.46
Polymorph energy (0 for the lowest one) in meV per atom: 0
N(E_F) in states/eV per atom: 0.79
Crystal system: monoclinic
Size of the total moment in μB per formula unit: 2.33
Energy of formation in eV per atom: -0.091

=====

# 11
Entry from the Alexandria database: a relaxed NaTmZn17 crystal (PBE).

abc: 8.9898 8.9898 13.1727
angles: 90.00 90.00 120.00
Space group R3m (No. 160, hexagonal axes)
Inequivalent atoms, fractional coordinates:
1 Na 0.0000 0.0000 0.0000
2 Tm 0.0000 0.0000 0.6775
3 Zn 0.0000 0.0000 0.2397
4 Zn 0.0000 0.0000 0.4423
5 Zn 0.0109 0.5055 0.4938
6 Zn 0.0339 0.3658 0.0083
7 Zn 0.1687 0.3375 0.1764
8 Zn 0.1704 0.3408 0.5219

Properties
V in A^3/atom: 16.17
N(E_F) in states/eV per atom: 0.31
Crystal system: trigonal
Size of the total moment in μB per formula unit: 0.00
Energy of formation in eV per atom: -0.119